This record from the Alexandria database describes a relaxed Sm2ThTe5 crystal. The functional is PBE-GGA.

Cell: 8.5872 13.9686 4.4501 Å, 90.00 90.00 90.00°
Space group Pbam (No. 55)
Inequivalent atoms, fractional coordinates:
Sm  0.0257  0.1752  0.0000
Th  0.0000  0.5000  0.5000
Te  0.0000  0.0000  0.5000
Te  0.1708  0.3885  0.0000
Te  0.1850  0.6970  0.5000

Calculated values
VASP energy = -84.95 eV per cell
E_form (uncorrected) = -1.24 eV per atom
Excess energy over the best structure of this formula in the dataset = 0.031 eV/atom
Total magnetization = 0.000 μB per atom



This record from the Alexandria database describes a relaxed TaTcAu2 crystal. The functional is PBE-GGA.

Cell: 3.5303 3.5303 5.5058 Å, 90.00 90.00 90.00°
Space group P4/mmm (No. 123)
Inequivalent atoms, fractional coordinates:
Ta  0.0000  0.0000  0.0000
Tc  0.0000  0.0000  0.5000
Au  0.5000  0.5000  0.2511

Calculated values
VASP energy = -27.69 eV per cell
Excess energy over the best structure of this formula in the dataset = 0.307 eV/atom
Total magnetization = 0.048 μB per atom